VInTe2I | PBE-GGA | optimized geometry

a b c (Å): 5.6887 5.6887 5.7861
angles (deg): 90.00 90.00 90.00
Fractional positions:
V  0.0000  0.0000  0.0000
In  0.5000  0.5000  0.5000
Te  0.0000  0.5000  0.5000
Te  0.5000  0.0000  0.5000
I  0.5000  0.5000  0.0000

Values from the calculation:
E above lowest polymorph ... 788 meV per atom
Uncorrected formation energy ... 0.731 eV per atom